NaTeIrAuS2 PBE relaxed; uncorrected energy = -53.7 eV for the cell shown
1.0
-4.8583 3.9849 4.8982
3.3523 -6.5760 -2.9989
7.4919 0.6845 6.8741
Au Ir Na S Te
2 2 2 4 2
Direct
0.3794 0.6206 0.2500
0.6206 0.3794 0.7500
0.0000 0.0000 0.0000
0.0000 0.0000 0.5000
0.7286 0.2714 0.2500
0.2714 0.7286 0.7500
0.3962 0.6038 0.0227
0.3962 0.6038 0.4773
0.6038 0.3962 0.5227
0.6038 0.3962 0.9773
0.0592 0.9408 0.2500
0.9408 0.0592 0.7500